No. 1
A plane-wave DFT calculation with PBE-GGA was carried out for a relaxed LiCd3Pb crystal.

```
LiCd3Pb
1.0
4.9834 0.0000 0.0000
0.0000 4.9834 0.0000
0.0000 0.0000 4.9834
Li Cd Pb
1 3 1
direct
0.0000 0.0000 0.0000 Li
0.0000 0.0000 0.5000 Cd
0.0000 0.5000 0.0000 Cd
0.5000 0.0000 0.0000 Cd
0.5000 0.5000 0.5000 Pb
```

Computed properties:
Energy of formation ... 0.1763 eV per atom
SG ... No. 221
Theoretical density ... 7.40 Mg/m³

***

No. 2
A plane-wave DFT calculation with PBE-GGA was carried out for a relaxed Y2TaAs crystal.

```
Y2TaAs
1.0
4.8418 0.0000 0.0000
0.0000 4.8418 0.0000
0.0000 0.0000 3.9039
Y Ta As
2 1 1
direct
0.0000 0.5000 0.0000 Y
0.5000 0.0000 0.0000 Y
0.0000 0.0000 0.5000 Ta
0.5000 0.5000 0.5000 As
```

Computed properties:
Energy of formation ... -0.1145 eV per atom
SG ... No. 123
Theoretical density ... 7.87 Mg/m³